First-principles (GGA-PBE) data for an optimized crystal structure of Sc4CdSnC2, as listed in OQMD via LeMat-Bulk.

The calculation puts the total energy at -6.641 eV/atom.

The structure belongs to space group P-6m2 (No. 187); the cell edges are 3.3504, 3.3504 and 15.2478 Å and the angles 90.00°, 90.00° and 120.00°. The inequivalent atoms are Sc at (0.0000, 0.0000, 0.1650), Sc at (0.3333, 0.6667, 0.3250), Cd at (0.0000, 0.0000, 0.5000), Sn at (0.3333, 0.6667, 0.0000) and C at (0.6667, 0.3333, 0.2453).